Material: BC
Method: DFT, GGA-PBE
State: optimized geometry

Properties
- E_tot (eV per atom) = -7.5571
- energy relative to the lowest polymorph listed for this composition (meV/atom) = 243
- SG = Cm (8)
- DFT formation energy (meV/atom) = 394
- density of states at the Fermi level (states/eV/atom) = 0.188

Structure (POSCAR):
```
BC
1.0
0.955 3.695 -2.384
1.129 1.649 -4.031
-8.044 -1.614 1.153
C B
6 6
Cartesian
-1.363 0.357 -0.588
-5.180 -0.254 -0.233
-2.121 1.961 -2.660
-5.915 1.346 -2.298
-1.953 4.486 -5.778
-2.515 3.571 -4.701
-4.881 2.115 -3.143
-0.879 1.371 -1.796
-4.610 0.719 -1.381
-7.765 -1.334 0.835
0.803 4.713 -5.769
-1.389 2.923 -3.777
```